(1)
Entry from Alexandria via LeMat-Bulk: a relaxed CrRh2Cl crystal (PBE-GGA).

abc: 2.752 2.752 8.039
angles: 90.00 90.00 90.00
Fractional positions:
Cr: 0.500 0.500 0.755
Rh: 0.000 0.000 0.963
Rh: 0.500 0.500 0.209
Cl: 0.000 0.000 0.573

## Properties
V in Å³/f.u.: 60.9
Space-group type: P4mm (99)
Energy relative to the elements, uncorrected in eV/atom: 0.24
Theoretical density in g/cm³: 8.0

(2)
Entry from Alexandria via LeMat-Bulk: a relaxed CrRh2Cl crystal (PBE-GGA).

abc: 5.852 5.852 6.127
angles: 61.47 61.47 90.00
Fractional positions:
Cr: 0.000 0.000 0.000
Cr: 0.750 0.250 0.500
Rh: 0.654 0.125 0.250
Rh: 0.096 0.625 0.250
Rh: 0.375 0.346 0.750
Rh: 0.875 0.904 0.750
Cl: 0.500 0.500 0.000
Cl: 0.250 0.750 0.500

## Properties
V in Å³/f.u.: 77.4
Space-group type: I-42d (122)
Energy relative to the elements, uncorrected in eV/atom: 0.61
Theoretical density in g/cm³: 6.3

(3)
Entry from Alexandria via LeMat-Bulk: a relaxed CrRhCl crystal (PBE-GGA).

abc: 6.395 6.219 2.960
angles: 79.78 73.13 27.10
Fractional positions:
Cr: 0.668 0.668 0.332
Rh: 0.304 0.304 0.696
Cl: 0.028 0.028 0.972

## Properties
V in Å³/f.u.: 50.4
Space-group type: Fmm2 (42)
Energy relative to the elements, uncorrected in eV/atom: 0.15
Theoretical density in g/cm³: 6.3

(4)
Entry from Alexandria via LeMat-Bulk: a relaxed CrRh2Cl crystal (PBE-GGA).

abc: 4.568 4.568 6.347
angles: 80.45 80.45 36.45
Fractional positions:
Cr: 0.211 0.211 0.182
Rh: 0.953 0.953 0.989
Rh: 0.700 0.700 0.854
Cl: 0.636 0.636 0.474

## Properties
V in Å³/f.u.: 77.5
Space-group type: Cm (8)
Energy relative to the elements, uncorrected in eV/atom: 0.22
Theoretical density in g/cm³: 6.3

Number 1: excess energy over the best structure of this formula in the dataset 179.4 meV/atom. Number 2: excess energy over the best structure of this formula in the dataset 541.8 meV/atom. Number 3: excess energy over the best structure of this formula in the dataset 139.2 meV/atom. Number 4: excess energy over the best structure of this formula in the dataset 158.9 meV/atom.